Here is crystalline FeIr2Ru4Rh at its relaxed geometry from Alexandria via LeMat-Bulk. Energies are from PBE.

Results
Total moment (μB/atom): 0.27
Electronic total energy (eV per atom): -8.7877
Volume (Å³ per cell): 111
Energy of formation (kJ per mole of atoms): 4.1

CIF file:
```
data_FeIr2Ru4Rh
_chemical_formula_sum 'Fe1 Ir2 Ru4 Rh1'
_space_group_name_H-M_alt 'P 1 2/m 1'
_space_group_IT_number 10
_cell_length_a 4.653
_cell_length_b 2.708
_cell_length_c 8.950
_cell_angle_alpha 90.00
_cell_angle_beta 100.16
_cell_angle_gamma 90.00
loop_
_space_group_symop_operation_xyz
'x,y,z'
'-x,-y,-z'
'-x,y,-z'
'x,-y,z'
loop_
_atom_site_label
_atom_site_type_symbol
_atom_site_fract_x
_atom_site_fract_y
_atom_site_fract_z
Fe1 Fe 0.000 0.000 0.000
Ir1 Ir 0.500 0.000 0.500
Ir2 Ir 0.500 0.500 0.000
Ru1 Ru 0.246 0.500 0.247
Ru2 Ru 0.248 0.000 0.754
Rh1 Rh 0.000 0.500 0.500
```

=====

Here is crystalline FeIrRuRh at its relaxed geometry from Alexandria via LeMat-Bulk. Energies are from PBE.

Results
Total moment (μB/atom): 0.64
Electronic total energy (eV per atom): -8.3993
Volume (Å³ per cell): 110
Energy of formation (kJ per mole of atoms): 8.5
Offset from the most stable computed form (eV per atom): 0.000

CIF file:
```
data_FeIrRuRh
_chemical_formula_sum 'Fe2 Ir2 Ru2 Rh2'
_space_group_name_H-M_alt 'A m m 2'
_space_group_IT_number 38
_cell_length_a 4.086
_cell_length_b 2.682
_cell_length_c 10.048
_cell_angle_alpha 90.00
_cell_angle_beta 90.00
_cell_angle_gamma 90.00
loop_
_space_group_symop_operation_xyz
'x,y,z'
'-x,-y,z'
'-x,y,z'
'x,-y,z'
'x,y+1/2,z+1/2'
'-x,-y+1/2,z+1/2'
'-x,y+1/2,z+1/2'
'x,-y+1/2,z+1/2'
loop_
_atom_site_label
_atom_site_type_symbol
_atom_site_fract_x
_atom_site_fract_y
_atom_site_fract_z
Fe1 Fe 0.000 0.000 0.000
Ir1 Ir 0.500 0.000 0.607
Ru1 Ru 0.000 0.000 0.250
Rh1 Rh 0.500 0.000 0.865
```

=====

Here is crystalline FeIr4RuRh2 at its relaxed geometry from Alexandria via LeMat-Bulk. Energies are from PBE.

Results
Total moment (μB/atom): 0.22
Electronic total energy (eV per atom): -8.5024
Volume (Å³ per cell): 112
Energy of formation (kJ per mole of atoms): -1.6

CIF file:
```
data_FeIr4RuRh2
_chemical_formula_sum 'Fe1 Ir4 Ru1 Rh2'
_space_group_name_H-M_alt 'P 4/m m m'
_space_group_IT_number 123
_space_group_name_Hall '-P 4 2'
_cell_length_a 3.828
_cell_length_b 3.828
_cell_length_c 7.656
_cell_angle_alpha 90.00
_cell_angle_beta 90.00
_cell_angle_gamma 90.00
loop_
_atom_site_label
_atom_site_type_symbol
_atom_site_fract_x
_atom_site_fract_y
_atom_site_fract_z
Fe1 Fe 0.000 0.000 0.000
Ir1 Ir 0.000 0.500 0.245
Ru1 Ru 0.500 0.500 0.000
Rh1 Rh 0.000 0.000 0.500
Rh2 Rh 0.500 0.500 0.500
```

=====

Here is crystalline FeIr2RuRh at its relaxed geometry from Alexandria via LeMat-Bulk. Energies are from PBE.

Results
Total moment (μB/atom): 0.47
Electronic total energy (eV per atom): -8.4606
Volume (Å³ per cell): 284
Energy of formation (kJ per mole of atoms): 9.8

CIF file:
```
data_FeIr2RuRh
_chemical_formula_sum 'Fe4 Ir8 Ru4 Rh4'
_space_group_name_H-M_alt 'C 1 2/m 1'
_space_group_IT_number 12
_cell_length_a 12.773
_cell_length_b 2.711
_cell_length_c 8.607
_cell_angle_alpha 90.00
_cell_angle_beta 107.74
_cell_angle_gamma 90.00
loop_
_space_group_symop_operation_xyz
'x,y,z'
'-x,-y,-z'
'-x,y,-z'
'x,-y,z'
'x+1/2,y+1/2,z'
'-x+1/2,-y+1/2,-z'
'-x+1/2,y+1/2,-z'
'x+1/2,-y+1/2,z'
loop_
_atom_site_label
_atom_site_type_symbol
_atom_site_fract_x
_atom_site_fract_y
_atom_site_fract_z
Fe1 Fe 0.186 0.000 0.362
Ir1 Ir 0.106 0.500 0.551
Ir2 Ir 0.114 0.000 0.053
Ru1 Ru 0.202 0.000 0.815
Rh1 Rh 0.002 0.500 0.778
```

=====

Here is crystalline Fe2IrRuRh4 at its relaxed geometry from Alexandria via LeMat-Bulk. Energies are from PBE.

Results
Total moment (μB/atom): 0.73
Electronic total energy (eV per atom): -7.7274
Volume (Å³ per cell): 468
Energy of formation (kJ per mole of atoms): 31.9

CIF file:
```
data_Fe2IrRuRh4
_chemical_formula_sum 'Fe8 Ir4 Ru4 Rh16'
_space_group_name_H-M_alt 'C m c m'
_space_group_IT_number 63
_space_group_name_Hall '-C 2c 2'
_cell_length_a 4.210
_cell_length_b 11.808
_cell_length_c 9.414
_cell_angle_alpha 90.00
_cell_angle_beta 90.00
_cell_angle_gamma 90.00
loop_
_atom_site_label
_atom_site_type_symbol
_atom_site_fract_x
_atom_site_fract_y
_atom_site_fract_z
Fe1 Fe 0.000 0.103 0.102
Ir1 Ir 0.000 0.440 0.750
Ru1 Ru 0.000 0.286 0.250
Rh1 Rh 0.000 0.085 0.750
Rh2 Rh 0.000 0.271 0.576
Rh3 Rh 0.000 0.500 0.000
```

=====

Here is crystalline FeIr2RuRh6 at its relaxed geometry from Alexandria via LeMat-Bulk. Energies are from PBE.

Results
Total moment (μB/atom): 0.30
Electronic total energy (eV per atom): -7.7321
Volume (Å³ per cell): 596
Energy of formation (kJ per mole of atoms): 21.7

CIF file:
```
data_FeIr2RuRh6
_chemical_formula_sum 'Fe4 Ir8 Ru4 Rh24'
_space_group_name_H-M_alt 'C 1 2/c 1'
_space_group_IT_number 15
_cell_length_a 10.037
_cell_length_b 8.216
_cell_length_c 7.224
_cell_angle_alpha 90.00
_cell_angle_beta 90.08
_cell_angle_gamma 90.00
loop_
_space_group_symop_operation_xyz
'x,y,z'
'-x,-y,-z'
'-x,y,-z+1/2'
'x,-y,z+1/2'
'x+1/2,y+1/2,z'
'-x+1/2,-y+1/2,-z'
'-x+1/2,y+1/2,-z+1/2'
'x+1/2,-y+1/2,z+1/2'
loop_
_atom_site_label
_atom_site_type_symbol
_atom_site_fract_x
_atom_site_fract_y
_atom_site_fract_z
Fe1 Fe 0.000 0.148 0.250
Ir1 Ir 0.240 0.101 0.281
Ru1 Ru 0.000 0.376 0.750
Rh1 Rh 0.086 0.108 0.598
Rh2 Rh 0.126 0.378 0.411
Rh3 Rh 0.146 0.330 0.050
```

=====

Here is crystalline FeIr2Ru2Rh2 at its relaxed geometry from Alexandria via LeMat-Bulk. Energies are from PBE.

Results
Total moment (μB/atom): 0.42
Electronic total energy (eV per atom): -8.3138
Volume (Å³ per cell): 203
Energy of formation (kJ per mole of atoms): 17.1

CIF file:
```
data_FeIr2Ru2Rh2
_chemical_formula_sum 'Fe2 Ir4 Ru4 Rh4'
_space_group_name_H-M_alt 'C 1 2/m 1'
_space_group_IT_number 12
_cell_length_a 10.143
_cell_length_b 4.390
_cell_length_c 4.691
_cell_angle_alpha 90.00
_cell_angle_beta 103.60
_cell_angle_gamma 90.00
loop_
_space_group_symop_operation_xyz
'x,y,z'
'-x,-y,-z'
'-x,y,-z'
'x,-y,z'
'x+1/2,y+1/2,z'
'-x+1/2,-y+1/2,-z'
'-x+1/2,y+1/2,-z'
'x+1/2,-y+1/2,z'
loop_
_atom_site_label
_atom_site_type_symbol
_atom_site_fract_x
_atom_site_fract_y
_atom_site_fract_z
Fe1 Fe 0.000 0.000 0.000
Ir1 Ir 0.127 0.000 0.605
Ru1 Ru 0.244 0.500 0.836
Rh1 Rh 0.096 0.500 0.260
```

=====

Here is crystalline FeIr2RuRh2 at its relaxed geometry from Alexandria via LeMat-Bulk. Energies are from PBE.

Results
Total moment (μB/atom): 0.53
Electronic total energy (eV per atom): -8.2316
Volume (Å³ per cell): 171
Energy of formation (kJ per mole of atoms): 12.4

CIF file:
```
data_FeIr2RuRh2
_chemical_formula_sum 'Fe2 Ir4 Ru2 Rh4'
_space_group_name_H-M_alt 'P 1 21/m 1'
_space_group_IT_number 11
_cell_length_a 4.866
_cell_length_b 5.355
_cell_length_c 6.772
_cell_angle_alpha 90.00
_cell_angle_beta 104.25
_cell_angle_gamma 90.00
loop_
_space_group_symop_operation_xyz
'x,y,z'
'-x,-y,-z'
'-x,y+1/2,-z'
'x,-y+1/2,z'
loop_
_atom_site_label
_atom_site_type_symbol
_atom_site_fract_x
_atom_site_fract_y
_atom_site_fract_z
Fe1 Fe 0.231 0.250 0.498
Ir1 Ir 0.396 0.001 0.183
Ru1 Ru 0.129 0.250 0.848
Rh1 Rh 0.123 0.750 0.845
Rh2 Rh 0.265 0.750 0.495
```

=====

Here is crystalline Fe2SiIrRh at its relaxed geometry from Alexandria via LeMat-Bulk. Energies are from PBE.

Results
Total moment (μB/atom): 0.00
Electronic total energy (eV per atom): -6.3479
Volume (Å³ per cell): 87
Offset from the most stable computed form (eV per atom): 0.410
E_form (uncorrected) (eV per atom): 1.36

CIF file:
```
data_Fe2SiIrRh
_chemical_formula_sum 'Fe2 Si1 Ir1 Rh1'
_space_group_name_H-M_alt 'P 4/m m m'
_space_group_IT_number 123
_space_group_name_Hall '-P 4 2'
_cell_length_a 4.422
_cell_length_b 4.422
_cell_length_c 4.452
_cell_angle_alpha 90.00
_cell_angle_beta 90.00
_cell_angle_gamma 90.00
loop_
_atom_site_label
_atom_site_type_symbol
_atom_site_fract_x
_atom_site_fract_y
_atom_site_fract_z
Fe1 Fe 0.000 0.500 0.000
Si1 Si 0.000 0.000 0.500
Ir1 Ir 0.000 0.000 0.000
Rh1 Rh 0.500 0.500 0.500
```

=====

Here is crystalline FeSiIrRh at its relaxed geometry from Alexandria via LeMat-Bulk. Energies are from PBE.

Results
Total moment (μB/atom): 0.89
Electronic total energy (eV per atom): -7.8625
Volume (Å³ per cell): 212
E_form (uncorrected) (eV per atom): -0.34

CIF file:
```
data_FeSiIrRh
_chemical_formula_sum 'Fe4 Si4 Ir4 Rh4'
_space_group_name_H-M_alt 'F -4 3 m'
_space_group_IT_number 216
_space_group_name_Hall 'F -4 2 3'
_cell_length_a 5.965
_cell_length_b 5.965
_cell_length_c 5.965
_cell_angle_alpha 90.00
_cell_angle_beta 90.00
_cell_angle_gamma 90.00
loop_
_atom_site_label
_atom_site_type_symbol
_atom_site_fract_x
_atom_site_fract_y
_atom_site_fract_z
Fe1 Fe 0.000 0.000 0.000
Si1 Si 0.000 0.000 0.500
Ir1 Ir 0.250 0.250 0.250
Rh1 Rh 0.250 0.250 0.750
```

=====

Here is crystalline Fe2SiIrRh at its relaxed geometry from Alexandria via LeMat-Bulk. Energies are from PBE.

Results
Total moment (μB/atom): 0.01
Electronic total energy (eV per atom): -6.7580
Volume (Å³ per cell): 72
Offset from the most stable computed form (eV per atom): 0.000
E_form (uncorrected) (eV per atom): 0.95

CIF file:
```
data_Fe2SiIrRh
_chemical_formula_sum 'Fe2 Si1 Ir1 Rh1'
_space_group_name_H-M_alt 'P 4/m m m'
_space_group_IT_number 123
_space_group_name_Hall '-P 4 2'
_cell_length_a 4.113
_cell_length_b 4.113
_cell_length_c 4.274
_cell_angle_alpha 90.00
_cell_angle_beta 90.00
_cell_angle_gamma 90.00
loop_
_atom_site_label
_atom_site_type_symbol
_atom_site_fract_x
_atom_site_fract_y
_atom_site_fract_z
Fe1 Fe 0.000 0.500 0.000
Si1 Si 0.000 0.000 0.000
Ir1 Ir 0.500 0.500 0.500
Rh1 Rh 0.000 0.000 0.500
```